# 1
The following is a PBE calculation of an optimized crystal structure of Zr4NiPbC2, from OQMD.

The space group is P-6m2 (No. 187) and the conventional cell measures 3.3608, 3.3608 and 13.9799 Å, with angles of 90.00, 90.00 and 120.00 degrees. The distinct sites, in fractional coordinates, are Zr at (0.0000, 0.0000, 0.1357), Zr at (0.6667, 0.3333, 0.3202), Ni at (0.6667, 0.3333, 0.0000), Pb at (0.0000, 0.0000, 0.5000) and C at (0.3333, 0.6667, 0.2325).

The final energy is -66.42 eV per cell.

=====

# 2
The following is a PBE calculation of an optimized crystal structure of Zr4NiPbC2, from OQMD.

The space group is P-6m2 (No. 187) and the conventional cell measures 3.3664, 3.3664 and 13.9746 Å, with angles of 90.00, 90.00 and 120.00 degrees. The distinct sites, in fractional coordinates, are Zr at (0.0000, 0.0000, 0.1359), Zr at (0.3333, 0.6667, 0.3198), Ni at (0.3333, 0.6667, 0.0000), Pb at (0.0000, 0.0000, 0.5000) and C at (0.6667, 0.3333, 0.2325).

The final energy is -66.43 eV per cell.

=====

# 3
The following is a PBE calculation of an optimized crystal structure of Sr2Pr2Ni3C5, from OQMD.

The space group is C2/m (No. 12) and the conventional cell measures 11.650, 3.847 and 10.036 Å, with angles of 90.00, 112.15 and 90.00 degrees. The distinct sites, in fractional coordinates, are Sr at (0.099, 0.000, 0.400), Pr at (0.237, 0.500, 0.159), Ni at (0.000, 0.000, 0.000), Ni at (0.053, 0.500, 0.847), C at (0.000, 0.500, 0.000), C at (0.105, 0.500, 0.697) and C at (0.179, 0.500, 0.625).

As for the energy relative to the lowest polymorph listed for this composition: 0 meV/atom.

=====

# 4
The following is a PBE calculation of an optimized crystal structure of Sr2Pr2Ni3C5, from OQMD.

The space group is C2/m (No. 12) and the conventional cell measures 11.763, 3.859 and 9.479 Å, with angles of 90.00, 110.29 and 90.00 degrees. The distinct sites, in fractional coordinates, are Sr at (0.242, 0.000, 0.164), Pr at (0.102, 0.500, 0.406), Ni at (0.000, 0.500, 0.000), Ni at (0.039, 0.000, 0.827), C at (0.000, 0.000, 0.000), C at (0.101, 0.000, 0.671) and C at (0.190, 0.000, 0.614).

As for the energy relative to the lowest polymorph listed for this composition: 10 meV/atom.

=====

# 5
The following is a PBE calculation of an optimized crystal structure of Ni3C2S2, from OQMD.

The space group is R-3m (No. 166, hexagonal axes) and the conventional cell measures 5.6812, 5.6812 and 8.8851 Å, with angles of 90.00, 90.00 and 120.00 degrees. The distinct sites, in fractional coordinates, are Ni at (0.0000, 0.5000, 0.0000), C at (0.0000, 0.0000, 0.0000), C at (0.0000, 0.0000, 0.5000) and S at (0.0000, 0.0000, 0.1807).

The final energy is -111.66 eV per cell.

=====

# 6
The following is a PBE calculation of an optimized crystal structure of Sc4NiC2S, from OQMD.

The space group is P-6m2 (No. 187) and the conventional cell measures 3.4029, 3.4029 and 12.2244 Å, with angles of 90.00, 90.00 and 120.00 degrees. The distinct sites, in fractional coordinates, are Sc at (0.0000, 0.0000, 0.1449), Sc at (0.6667, 0.3333, 0.3454), Ni at (0.0000, 0.0000, 0.5000), C at (0.3333, 0.6667, 0.2458) and S at (0.6667, 0.3333, 0.0000).

The final energy is -59.97 eV per cell.

=====

# 7
The following is a PBE calculation of an optimized crystal structure of Ni2TeCS, from OQMD.

The space group is P3m1 (No. 156) and the conventional cell measures 3.1735, 3.1735 and 8.5683 Å, with angles of 90.00, 90.00 and 120.00 degrees. The distinct sites, in fractional coordinates, are Ni at (0.0000, 0.0000, 0.0000), Ni at (0.3333, 0.6667, 0.2142), Te at (0.0000, 0.0000, 0.4582), C at (0.6667, 0.3333, 0.1147) and S at (0.3333, 0.6667, 0.8374).

The final energy is -25.54 eV per cell.

=====

# 8
The following is a PBE calculation of an optimized crystal structure of Y4NiC2S, from OQMD.

The space group is P-6m2 (No. 187) and the conventional cell measures 3.6743, 3.6743 and 13.0471 Å, with angles of 90.00, 90.00 and 120.00 degrees. The distinct sites, in fractional coordinates, are Y at (0.0000, 0.0000, 0.1456), Y at (0.3333, 0.6667, 0.3518), Ni at (0.0000, 0.0000, 0.5000), C at (0.6667, 0.3333, 0.2486) and S at (0.3333, 0.6667, 0.0000).

The final energy is -59.69 eV per cell.

=====

# 9
The following is a PBE calculation of an optimized crystal structure of Y4NiC2S, from OQMD.

The space group is P-6m2 (No. 187) and the conventional cell measures 3.6797, 3.6797 and 13.0985 Å, with angles of 90.00, 90.00 and 120.00 degrees. The distinct sites, in fractional coordinates, are Y at (0.0000, 0.0000, 0.1452), Y at (0.6667, 0.3333, 0.3508), Ni at (0.0000, 0.0000, 0.5000), C at (0.3333, 0.6667, 0.2479) and S at (0.6667, 0.3333, 0.0000).

The final energy is -59.70 eV per cell.

=====

# 10
The following is a PBE calculation of an optimized crystal structure of Zr4NiC2S, from OQMD.

The space group is P-6m2 (No. 187) and the conventional cell measures 3.3849, 3.3849 and 12.5379 Å, with angles of 90.00, 90.00 and 120.00 degrees. The distinct sites, in fractional coordinates, are Zr at (0.0000, 0.0000, 0.1460), Zr at (0.3333, 0.6667, 0.3497), Ni at (0.0000, 0.0000, 0.5000), C at (0.6667, 0.3333, 0.2463) and S at (0.3333, 0.6667, 0.0000).

The final energy is -69.56 eV per cell.

=====

# 11
The following is a PBE calculation of an optimized crystal structure of Sc4NiSbC2, from OQMD.

The space group is P-6m2 (No. 187) and the conventional cell measures 3.3801, 3.3801 and 13.4565 Å, with angles of 90.00, 90.00 and 120.00 degrees. The distinct sites, in fractional coordinates, are Sc at (0.0000, 0.0000, 0.1390), Sc at (0.3333, 0.6667, 0.3198), Ni at (0.3333, 0.6667, 0.0000), Sb at (0.0000, 0.0000, 0.5000) and C at (0.6667, 0.3333, 0.2336).

The final energy is -57.77 eV per cell.

=====

# 12
The following is a PBE calculation of an optimized crystal structure of NiSbW4C2, from OQMD.

The space group is P-6m2 (No. 187) and the conventional cell measures 3.1365, 3.1365 and 13.0305 Å, with angles of 90.00, 90.00 and 120.00 degrees. The distinct sites, in fractional coordinates, are Ni at (0.0000, 0.0000, 0.0000), Sb at (0.3333, 0.6667, 0.5000), W at (0.0000, 0.0000, 0.3211), W at (0.3333, 0.6667, 0.1469) and C at (0.6667, 0.3333, 0.2366).

The final energy is -77.48 eV per cell.

=====

# 13
The following is a PBE calculation of an optimized crystal structure of Y4NiSbC2, from OQMD.

The space group is P-6m2 (No. 187) and the conventional cell measures 3.6486, 3.6486 and 14.2968 Å, with angles of 90.00, 90.00 and 120.00 degrees. The distinct sites, in fractional coordinates, are Y at (0.0000, 0.0000, 0.1368), Y at (0.6667, 0.3333, 0.3248), Ni at (0.6667, 0.3333, 0.0000), Sb at (0.0000, 0.0000, 0.5000) and C at (0.3333, 0.6667, 0.2346).

The final energy is -57.33 eV per cell.

=====

# 14
The following is a PBE calculation of an optimized crystal structure of Zr4NiSb2C, from OQMD.

The space group is P-3m1 (No. 164) and the conventional cell measures 3.5406, 3.5406 and 14.4768 Å, with angles of 90.00, 90.00 and 120.00 degrees. The distinct sites, in fractional coordinates, are Zr at (0.3333, 0.6667, 0.0834), Zr at (0.3333, 0.6667, 0.3911), Ni at (0.0000, 0.0000, 0.5000), Sb at (0.3333, 0.6667, 0.7620) and C at (0.0000, 0.0000, 0.0000).

The final energy is -61.59 eV per cell.

=====

# 15
The following is a PBE calculation of an optimized crystal structure of Sc4TlNiC2, from OQMD.

The space group is P-6m2 (No. 187) and the conventional cell measures 3.3566, 3.3566 and 13.9523 Å, with angles of 90.00, 90.00 and 120.00 degrees. The distinct sites, in fractional coordinates, are Sc at (0.0000, 0.0000, 0.1361), Sc at (0.3333, 0.6667, 0.3120), Tl at (0.0000, 0.0000, 0.5000), Ni at (0.3333, 0.6667, 0.0000) and C at (0.6667, 0.3333, 0.2261).

The final energy is -55.03 eV per cell.

=====

# 16
The following is a PBE calculation of an optimized crystal structure of Sc4ZnNiC2, from OQMD.

The space group is P-6m2 (No. 187) and the conventional cell measures 3.3272, 3.3272 and 13.6015 Å, with angles of 90.00, 90.00 and 120.00 degrees. The distinct sites, in fractional coordinates, are Sc at (0.0000, 0.0000, 0.1402), Sc at (0.6667, 0.3333, 0.3220), Zn at (0.0000, 0.0000, 0.5000), Ni at (0.6667, 0.3333, 0.0000) and C at (0.3333, 0.6667, 0.2340).

The final energy is -53.39 eV per cell.

=====

# 17
The following is a PBE calculation of an optimized crystal structure of Ni3C2Se2, from OQMD.

The space group is C2/m (No. 12) and the conventional cell measures 9.773, 7.101 and 7.649 Å, with angles of 90.00, 127.34 and 90.00 degrees. The distinct sites, in fractional coordinates, are Ni at (0.000, 0.174, 0.000), Ni at (0.177, 0.000, 0.746), Ni at (0.250, 0.250, 0.000), C at (0.082, 0.500, 0.054), C at (0.107, 0.000, 0.920) and Se at (0.206, 0.300, 0.658).

The final energy is -154.09 eV per cell.

=====

# 18
The following is a PBE calculation of an optimized crystal structure of Ni4SnC2Se, from OQMD.

The space group is P-6m2 (No. 187) and the conventional cell measures 3.1294, 3.1294 and 12.0173 Å, with angles of 90.00, 90.00 and 120.00 degrees. The distinct sites, in fractional coordinates, are Ni at (0.0000, 0.0000, 0.1646), Ni at (0.6667, 0.3333, 0.3055), Sn at (0.0000, 0.0000, 0.5000), C at (0.3333, 0.6667, 0.2381) and Se at (0.6667, 0.3333, 0.0000).

The final energy is -45.07 eV per cell.

=====

# 19
The following is a PBE calculation of an optimized crystal structure of TlNi4C2Se, from OQMD.

The space group is P-6m2 (No. 187) and the conventional cell measures 3.1274, 3.1274 and 12.2197 Å, with angles of 90.00, 90.00 and 120.00 degrees. The distinct sites, in fractional coordinates, are Tl at (0.0000, 0.0000, 0.0000), Ni at (0.0000, 0.0000, 0.3386), Ni at (0.3333, 0.6667, 0.2019), C at (0.6667, 0.3333, 0.2645) and Se at (0.3333, 0.6667, 0.5000).

The final energy is -43.23 eV per cell.

=====

# 20
The following is a PBE calculation of an optimized crystal structure of Zr4SiNiC2, from OQMD.

The space group is P-6m2 (No. 187) and the conventional cell measures 3.3237, 3.3237 and 13.2867 Å, with angles of 90.00, 90.00 and 120.00 degrees. The distinct sites, in fractional coordinates, are Zr at (0.0000, 0.0000, 0.1444), Zr at (0.6667, 0.3333, 0.3415), Si at (0.0000, 0.0000, 0.5000), Ni at (0.6667, 0.3333, 0.0000) and C at (0.3333, 0.6667, 0.2448).

The final energy is -68.52 eV per cell.

=====

# 21
The following is a PBE calculation of an optimized crystal structure of SmYNi2C4, from OQMD.

The space group is P4mm (No. 99) and the conventional cell measures 3.592, 3.592 and 7.430 Å, with angles of 90.00, 90.00 and 90.00 degrees. The distinct sites, in fractional coordinates, are Sm at (0.000, 0.000, 0.000), Y at (0.500, 0.500, 0.340), Ni at (0.000, 0.500, 0.670), C at (0.000, 0.000, 0.335), C at (0.000, 0.000, 0.520), C at (0.500, 0.500, 0.014) and C at (0.500, 0.500, 0.828).

The final energy is -60.80 eV per cell.

=====

# 22
The following is a PBE calculation of an optimized crystal structure of NiSn3C4, from OQMD.

The space group is C2/m (No. 12) and the conventional cell measures 17.361, 3.748 and 4.193 Å, with angles of 90.00, 98.91 and 90.00 degrees. The distinct sites, in fractional coordinates, are Ni at (0.000, 0.000, 0.000), Sn at (0.000, 0.500, 0.500), Sn at (0.188, 0.500, 0.676), C at (0.104, 0.000, 0.037) and C at (0.177, 0.000, 0.013).

The final energy is -96.51 eV per cell.

=====

# 23
The following is a PBE calculation of an optimized crystal structure of Tm2NiSn2C3, from OQMD.

The space group is P3m1 (No. 156) and the conventional cell measures 3.4687, 3.4687 and 11.8851 Å, with angles of 90.00, 90.00 and 120.00 degrees. The distinct sites, in fractional coordinates, are Tm at (0.0000, 0.0000, 0.0000), Tm at (0.3333, 0.6667, 0.4449), Ni at (0.0000, 0.0000, 0.6207), Sn at (0.6667, 0.3333, 0.2260), Sn at (0.6667, 0.3333, 0.7701), C at (0.0000, 0.0000, 0.3485), C at (0.3333, 0.6667, 0.1222) and C at (0.3333, 0.6667, 0.8670).

The final energy is -47.23 eV per cell.

=====

# 24
The following is a PBE calculation of an optimized crystal structure of TmNiSnC, from OQMD.

The space group is P-3m1 (No. 164) and the conventional cell measures 4.3751, 4.3751 and 7.5893 Å, with angles of 90.00, 90.00 and 120.00 degrees. The distinct sites, in fractional coordinates, are Tm at (0.3333, 0.6667, 0.2986), Ni at (0.3333, 0.6667, 0.8934), Sn at (0.0000, 0.0000, 0.0000), Sn at (0.0000, 0.0000, 0.5000) and C at (0.3333, 0.6667, 0.6434).

As for the energy relative to the lowest polymorph listed for this composition: 0 meV/atom.

=====

| no. | magnetization (μB per cell) |
| --- | --- |
| 1 | 0.01 |
| 2 | 0.02 |
| 3 | 1.46 |
| 4 | 0.01 |
| 5 | 0.01 |
| 6 | 0.01 |
| 7 | 0.01 |
| 8 | 0.01 |
| 9 | 0.01 |
| 10 | 0.01 |
| 11 | 0.01 |
| 12 | 0.06 |
| 13 | 0.01 |
| 14 | 0.01 |
| 15 | 0.02 |
| 16 | 1.04 |
| 17 | 0.00 |
| 18 | 0.01 |
| 19 | 0.00 |
| 20 | 0.00 |
| 21 | 0.00 |
| 22 | 0.01 |
| 23 | 0.00 |
| 24 | 0.00 |